Entry 1:
Pm2CdAg4: relaxed, PBE-GGA.

extended XYZ file:
```
7
Lattice="2.543 1.468 7.200 -2.543 1.468 7.200 0.000 -2.936 7.200" Properties=species:S:1:pos:R:3 pbc="T T T"
Pm 0.000 0.000 4.876
Pm 0.000 0.000 16.723
Cd 0.000 0.000 10.800
Ag 0.000 0.000 1.416
Ag 0.000 0.000 7.895
Ag 0.000 0.000 13.704
Ag 0.000 0.000 20.183
```

Total magnetic moment, μB per cell: 0.0
Total DFT energy (no corrections), eV per cell: -23.105
Energy of formation, eV/atom: -0.18

=====

Entry 2:
Pm2CdAg: relaxed, PBE-GGA.

extended XYZ file:
```
4
Lattice="3.781 0.000 0.000 0.000 3.781 0.000 0.000 0.000 7.555" Properties=species:S:1:pos:R:3 pbc="T T T"
Pm 0.000 0.000 1.835
Pm 0.000 0.000 5.720
Cd 1.890 1.890 3.778
Ag 1.890 1.890 0.000
```

Total magnetic moment, μB per cell: 0.2
Total DFT energy (no corrections), eV per cell: -14.437
Energy of formation, eV/atom: -0.29

=====

Entry 3:
Pm7Cd2Ag2: relaxed, PBE-GGA.

extended XYZ file:
```
11
Lattice="3.968 -5.640 0.000 3.968 5.640 0.000 0.000 0.000 7.816" Properties=species:S:1:pos:R:3 pbc="T T T"
Pm 0.000 0.000 0.000
Pm 1.984 2.820 2.184
Pm 1.984 2.820 5.632
Pm 1.984 -2.820 2.184
Pm 1.984 -2.820 5.632
Pm 3.968 0.000 2.017
Pm 3.968 0.000 5.798
Cd 1.375 0.000 3.908
Cd 6.561 0.000 3.908
Ag 3.968 2.377 0.000
Ag 3.968 -2.377 0.000
```

Total magnetic moment, μB per cell: 0.0
Total DFT energy (no corrections), eV per cell: -40.382
Energy of formation, eV/atom: 0.04

=====

Entry 4:
Pm2CdAg4: relaxed, PBE-GGA.

extended XYZ file:
```
7
Lattice="-2.543 2.543 7.685 2.543 -2.543 7.685 2.543 2.543 -7.685" Properties=species:S:1:pos:R:3 pbc="T T T"
Pm 0.000 0.000 1.951
Pm 0.000 0.000 13.419
Cd 0.000 0.000 7.685
Ag 2.543 0.000 0.000
Ag 0.000 0.000 4.935
Ag 0.000 2.543 0.000
Ag 0.000 0.000 10.436
```

Total magnetic moment, μB per cell: 0.0
Total DFT energy (no corrections), eV per cell: -20.188
Energy of formation, eV/atom: 0.23